Ba6Tm2Al4O15: PBEsol geometry, SCAN.

Unit cell a=5.8627 b=7.7897 c=18.2329 alpha=91.69 beta=90.00 gamma=90.00
Positions (direct):
1 Ba 0.2460 0.5005 0.4193
2 Ba 0.7540 0.4995 0.5807
3 Ba 0.2460 0.4995 0.0807
4 Ba 0.7540 0.5005 0.9193
5 Ba 0.2526 0.9721 0.4105
6 Ba 0.7474 0.0279 0.5895
7 Ba 0.2526 0.0279 0.0895
8 Ba 0.7474 0.9721 0.9105
9 Ba 0.2721 0.0000 0.7500
10 Ba 0.7279 0.0000 0.2500
11 Ba 0.3203 0.5000 0.7500
12 Ba 0.6797 0.5000 0.2500
13 Tm 0.2504 0.7527 0.5894
14 Tm 0.7496 0.2473 0.4106
15 Tm 0.2504 0.2473 0.9106
16 Tm 0.7496 0.7527 0.0894
17 Al 0.2525 0.7527 0.9440
18 Al 0.7475 0.2473 0.0560
19 Al 0.2525 0.2473 0.5560
20 Al 0.7475 0.7527 0.4440
21 Al 0.2348 0.7770 0.2314
22 Al 0.7652 0.2230 0.7686
23 Al 0.2348 0.2230 0.2686
24 Al 0.7652 0.7770 0.7314
25 O 0.7911 0.0000 0.7500
26 O 0.2089 0.0000 0.2500
27 O 0.4970 0.7647 0.4996
28 O 0.5030 0.2353 0.5004
29 O 0.4970 0.2353 0.0004
30 O 0.5030 0.7647 0.9996
31 O 0.2381 0.9476 0.8945
32 O 0.7619 0.0524 0.1055
33 O 0.2381 0.0524 0.6055
34 O 0.7619 0.9476 0.3945
35 O 0.9868 0.7642 0.5054
36 O 0.0132 0.2358 0.4946
37 O 0.9868 0.2358 0.9946
38 O 0.0132 0.7642 0.0054
39 O 0.6740 0.6897 0.8129
40 O 0.3260 0.3103 0.1871
41 O 0.6740 0.3103 0.6871
42 O 0.3260 0.6897 0.3129
43 O 0.5408 0.7553 0.6657
44 O 0.4592 0.2447 0.3343
45 O 0.5408 0.2447 0.8343
46 O 0.4592 0.7553 0.1657
47 O 0.0241 0.7280 0.6861
48 O 0.9759 0.2720 0.3139
49 O 0.0241 0.2720 0.8139
50 O 0.9759 0.7280 0.1861
51 O 0.2466 0.5359 0.9091
52 O 0.7534 0.4641 0.0909
53 O 0.2466 0.4641 0.5909
54 O 0.7534 0.5359 0.4091

Values from the calculation:
For the formation energy without anion corrections, the calculation gives -3361 meV per atom. As for the symmetry: P2/c. Its density is 6.02 Mg/m³.



Ba5Y2ZrAl2O13: PBEsol geometry, SCAN.

Unit cell a=5.9542 b=5.9542 c=24.9993 alpha=90.00 beta=90.00 gamma=120.00
Positions (direct):
1 Ba 0.3333 0.6667 0.9591
2 Ba 0.6667 0.3333 0.0409
3 Ba 0.6667 0.3333 0.4591
4 Ba 0.3333 0.6667 0.5409
5 Ba 0.0000 0.0000 0.3632
6 Ba 0.0000 0.0000 0.6368
7 Ba 0.0000 0.0000 0.8632
8 Ba 0.0000 0.0000 0.1368
9 Ba 0.3333 0.6667 0.2500
10 Ba 0.6667 0.3333 0.7500
11 Y 0.3333 0.6667 0.3961
12 Y 0.6667 0.3333 0.6039
13 Y 0.6667 0.3333 0.8961
14 Y 0.3333 0.6667 0.1039
15 Zr 0.0000 0.0000 0.5000
16 Zr 0.0000 0.0000 0.0000
17 Al 0.3333 0.6667 0.8191
18 Al 0.6667 0.3333 0.1809
19 Al 0.6667 0.3333 0.3191
20 Al 0.3333 0.6667 0.6809
21 O 0.9907 0.4953 0.3418
22 O 0.0093 0.5047 0.6582
23 O 0.5047 0.0093 0.3418
24 O 0.0093 0.5047 0.8418
25 O 0.4953 0.9907 0.6582
26 O 0.9907 0.4953 0.1582
27 O 0.5047 0.4953 0.3418
28 O 0.4953 0.9907 0.8418
29 O 0.4953 0.5047 0.6582
30 O 0.5047 0.0093 0.1582
31 O 0.4953 0.5047 0.8418
32 O 0.5047 0.4953 0.1582
33 O 0.6753 0.8376 0.4501
34 O 0.3247 0.1624 0.5499
35 O 0.1624 0.3247 0.4501
36 O 0.3247 0.1624 0.9501
37 O 0.8376 0.6753 0.5499
38 O 0.6753 0.8376 0.0499
39 O 0.1624 0.8376 0.4501
40 O 0.8376 0.6753 0.9501
41 O 0.8376 0.1624 0.5499
42 O 0.1624 0.3247 0.0499
43 O 0.8376 0.1624 0.9501
44 O 0.1624 0.8376 0.0499
45 O 0.3333 0.6667 0.7500
46 O 0.6667 0.3333 0.2500

Values from the calculation:
For the formation energy without anion corrections, the calculation gives -3416 meV per atom. As for the symmetry: P6_3/mmc. Its density is 5.27 Mg/m³.



BaAl2Os: PBEsol geometry, SCAN.

Unit cell a=3.1484 b=3.1484 c=9.7479 alpha=80.71 beta=80.71 gamma=60.00
Positions (direct):
1 Os 0.0000 0.0000 0.0000
2 Ba 0.5000 0.5000 0.5000
3 Al 0.2711 0.2711 0.1868
4 Al 0.7289 0.7289 0.8132

Values from the calculation:
As for the symmetry: R-3m. The total energy is -31.46 eV per atom. Its density is 7.71 Mg/m³.



Ba2AlOs: PBEsol geometry, SCAN.

Unit cell a=4.3551 b=4.3578 c=9.0292 alpha=103.34 beta=90.00 gamma=119.98
Positions (direct):
1 Os 0.4584 0.9168 0.3747
2 Ba 0.0454 0.0907 0.1250
3 Ba 0.2045 0.4089 0.6252
4 Al 0.7917 0.5835 0.3751

Values from the calculation:
As for the symmetry: Cm. The total energy is -39.70 eV per atom. Its density is 5.71 Mg/m³.